(1)
TmThSbPb | GGA-PBE | optimized geometry

a b c (Å): 4.4945 4.4945 7.6272
angles (deg): 72.86 72.86 60.00
Element x y z (fractional)
Tm: 0.9442 0.9442 0.1675
Th: 0.4441 0.4441 0.6676
Sb: 0.1980 0.1980 0.4061
Pb: 0.6901 0.6901 0.9296

Output
As for the space group: R3m, No. 160. The final energy comes out at -5.574 eV per atom. The magnetic moment comes out at 0.0 μB/cell.

---

(2)
Ti12Sb3Pb | GGA-PBE | optimized geometry

a b c (Å): 5.2295 5.2252 10.4837
angles (deg): 90.00 90.00 90.00
Element x y z (fractional)
Ti: 0.5000 0.0000 0.3753
Ti: 0.5000 0.0000 0.8742
Ti: 0.7500 0.5000 0.0000
Ti: 0.7468 0.5000 0.5000
Ti: 0.0000 0.7500 0.2461
Ti: 0.0000 0.7500 0.7539
Ti: 0.5000 0.0000 0.1258
Ti: 0.5000 0.0000 0.6247
Ti: 0.2500 0.5000 0.0000
Ti: 0.2532 0.5000 0.5000
Ti: 0.0000 0.2500 0.2461
Ti: 0.0000 0.2500 0.7539
Sb: 0.5000 0.5000 0.2495
Sb: 0.5000 0.5000 0.7505
Sb: 0.0000 0.0000 0.0000
Pb: 0.0000 0.0000 0.5000

Output
As for the space group: Pmmm, No. 47. The final energy comes out at -7.226 eV per atom. The magnetic moment comes out at 0.0 μB/cell.

---

Please write out number 2 again, unchanged.
Ti12Sb3Pb | GGA-PBE | optimized geometry

a b c (Å): 5.2295 5.2252 10.4837
angles (deg): 90.00 90.00 90.00
Element x y z (fractional)
Ti: 0.5000 0.0000 0.3753
Ti: 0.5000 0.0000 0.8742
Ti: 0.7500 0.5000 0.0000
Ti: 0.7468 0.5000 0.5000
Ti: 0.0000 0.7500 0.2461
Ti: 0.0000 0.7500 0.7539
Ti: 0.5000 0.0000 0.1258
Ti: 0.5000 0.0000 0.6247
Ti: 0.2500 0.5000 0.0000
Ti: 0.2532 0.5000 0.5000
Ti: 0.0000 0.2500 0.2461
Ti: 0.0000 0.2500 0.7539
Sb: 0.5000 0.5000 0.2495
Sb: 0.5000 0.5000 0.7505
Sb: 0.0000 0.0000 0.0000
Pb: 0.0000 0.0000 0.5000

Output
As for the space group: Pmmm, No. 47. The final energy comes out at -7.226 eV per atom. The magnetic moment comes out at 0.0 μB/cell.

---

Q: Look up the magnetic moment of the first one.
A: 0.0 μB/cell

---

Q: Which formula does entry 1 have?
A: TmThSbPb